24
Lattice="-5.3455 5.3455 3.3767 5.3455 -5.3455 3.3767 5.3455 5.3455 -3.3767" Properties=species:S:1:pos:R:3 comment="MgZn11 (GGA-PBE, relaxed)" dos_ef_per_ev_cell=7.6 formation_enthalpy_0k_ev_per_fu=0.14 energy_ev_per_cell=-30.929 pbc="T T T"
Mg 5.3455 2.6728 0.8442
Mg 0.0000 2.6728 2.5325
Zn 0.0000 0.0000 0.0000
Zn 2.6728 2.6728 -1.6883
Zn 2.6728 -2.6728 1.6883
Zn 5.3455 -2.6728 2.5325
Zn 4.0526 -0.4990 1.1882
Zn 6.6384 -0.4990 1.1882
Zn 2.1737 1.3799 0.5001
Zn 8.5173 1.3799 0.5001
Zn 4.0526 4.8465 -1.1882
Zn 1.2929 -0.4990 2.1885
Zn 2.1737 3.9657 0.5001
Zn 3.1718 -1.3799 3.8768
Zn 0.0000 5.3455 0.0000
Zn 2.1737 6.7254 -0.5001
Zn 3.1718 1.3799 2.8765
Zn 4.0526 5.8445 1.1882
Zn 1.2929 0.4990 4.5648
Zn -3.1718 3.9657 2.8765
Zn 3.1718 3.9657 2.8765
Zn -1.2929 5.8445 2.1885
Zn 1.2929 5.8445 2.1885
Zn 0.0000 8.0183 0.8442

***

10
Lattice="2.2919 1.3233 4.9705 -2.2919 1.3233 4.9705 0.0000 -2.6465 4.9705" Properties=species:S:1:pos:R:3 comment="LiThH6Rh2 (GGA-PBE, relaxed)" dos_ef_per_ev_cell=3.4 energy_ev_per_cell=-48.107 pbc="T T T"
Li 0.0000 0.0000 0.0000
Th 0.0000 0.0000 7.4558
H 0.0000 -1.4059 3.4931
H -1.2175 0.7029 3.4931
H -1.2175 -0.7029 11.4185
H 1.2175 0.7029 3.4931
H 1.2175 -0.7029 11.4185
H 0.0000 1.4059 11.4185
Rh 0.0000 0.0000 4.3785
Rh 0.0000 0.0000 10.5330

***

Number 1: V 16.1 A^3/atom. Number 2: V 9.0 A^3/atom.